BaMnZn2Rh | the Alexandria database | PBE-GGA | relaxed; size of the total moment = 0.859 μB/atom; formation energy from the elements = -0.057 eV/atom; E_tot = -4.2550 eV per atom
1.0
4.9459 0.0000 0.0000
0.0000 4.9459 0.0000
0.0000 0.0000 4.9370
Ba Rh Zn Mn
1 1 2 1
Cartesian
2.4730 2.4730 2.4685
0.0000 0.0000 0.0000
2.4730 0.0000 0.0000
0.0000 2.4730 0.0000
0.0000 0.0000 2.4685